DFT (PBE) results for a relaxed structure of Rb2TcS3.

For the energy, the calculation gives -59.16 eV/cell. As for the magnetic moment: 0.1661 μB/atom. The excess energy over the best structure of this formula in the dataset comes out at 0.03 kcal/mol of atoms.

The structure belongs to space group P-1 (No. 2); the cell edges are 6.9023, 7.5328 and 8.6844 Å and the angles 73.70°, 67.69° and 64.53°. The distinct sites, in fractional coordinates, are Rb at (0.0895, 0.1973, 0.1326), Rb at (0.3238, 0.5798, 0.3059), Tc at (0.3848, 0.0531, 0.6602), S at (0.1864, 0.3648, 0.7185), S at (0.2557, 0.9770, 0.4922) and S at (0.3849, 0.8310, 0.8930).